The following is a DFT calculation (PBE) of an optimized crystal structure of YAlTc2.

Electronic total energy   -7.45 eV/atom
Space-group type   I-42d

```
YAlTc2
1.0
-2.121 2.121 9.233
2.121 -2.121 9.233
2.121 2.121 -9.233
Y Al Tc
2 2 4
direct
0.000 0.000 0.000
0.750 0.250 0.500
0.250 0.750 0.500
0.500 0.500 0.000
0.237 0.625 0.112
0.375 0.487 0.612
0.513 0.125 0.888
0.875 0.763 0.388
```

***

The following is a DFT calculation (PBE) of an optimized crystal structure of Rb2Mn2Zn.

Electronic total energy   -3.37 eV/atom
Space-group type   I4/mmm

```
Rb2Mn2Zn
1.0
-3.508 3.508 3.825
3.508 -3.508 3.825
3.508 3.508 -3.825
Rb Mn Zn
2 2 1
direct
0.250 0.750 0.500
0.750 0.250 0.500
0.163 0.163 0.000
0.837 0.837 0.000
0.500 0.500 0.000
```

***

The following is a DFT calculation (PBE) of an optimized crystal structure of FeMo2H2.

Electronic total energy   -7.24 eV/atom
Space-group type   I4/mmm

```
FeMo2H2
1.0
-1.424 1.424 5.897
1.424 -1.424 5.897
1.424 1.424 -5.897
Fe Mo H
1 2 2
direct
0.000 0.000 0.000
0.360 0.360 0.000
0.640 0.640 0.000
0.250 0.750 0.500
0.750 0.250 0.500
```

***

The following is a DFT calculation (PBE) of an optimized crystal structure of Hf4InSe.

Uncorrected formation energy   -0.23 eV/atom
Space-group type   C2/c

```
Hf4InSe
1.0
7.095 -3.079 0.000
7.095 3.079 0.000
-1.545 0.000 5.959
Hf In Se
8 2 2
direct
0.022 0.797 0.864
0.197 0.444 0.412
0.203 0.978 0.636
0.444 0.197 0.912
0.556 0.803 0.088
0.797 0.022 0.364
0.803 0.556 0.588
0.978 0.203 0.136
0.442 0.558 0.250
0.558 0.442 0.750
0.000 0.500 0.000
0.500 0.000 0.500
```

***

The following is a DFT calculation (PBE) of an optimized crystal structure of LiCdPb3.

Electronic total energy   -2.65 eV/atom
Space-group type   Pm-3m

```
LiCdPb3
1.0
5.223 0.000 0.000
0.000 5.223 0.000
0.000 0.000 5.223
Li Cd Pb
1 1 3
direct
0.000 0.000 0.000
0.500 0.500 0.500
0.000 0.000 0.500
0.000 0.500 0.000
0.500 0.000 0.000
```

***

The following is a DFT calculation (PBE) of an optimized crystal structure of SrCoTe4.

Uncorrected formation energy   0.30 eV/atom
Space-group type   F-43m

```
SrCoTe4
1.0
0.000 4.537 4.537
4.537 0.000 4.537
4.537 4.537 0.000
Sr Co Te
1 1 4
direct
0.000 0.000 0.000
0.250 0.250 0.250
0.129 0.624 0.624
0.624 0.129 0.624
0.624 0.624 0.129
0.624 0.624 0.624
```

***

The following is a DFT calculation (PBE) of an optimized crystal structure of Tb5Pd2Ru2.

Electronic total energy   -6.26 eV/atom
Space-group type   Ima2

```
Tb5Pd2Ru2
1.0
-8.887 3.222 3.674
8.887 -3.222 3.674
8.887 3.222 -3.674
Tb Pd Ru
10 4 4
direct
0.144 0.025 0.619
0.166 0.076 0.242
0.166 0.424 0.591
0.406 0.525 0.381
0.486 0.798 0.999
0.486 0.987 0.188
0.799 0.298 0.812
0.799 0.487 0.001
0.834 0.576 0.409
0.834 0.924 0.758
0.242 0.403 0.971
0.242 0.771 0.339
0.432 0.271 0.029
0.432 0.903 0.661
0.707 0.207 0.500
0.707 0.707 0.000
0.920 0.189 0.231
0.958 0.689 0.769
```

***

The following is a DFT calculation (PBE) of an optimized crystal structure of Nd7Cu2Au2.

Electronic total energy   -4.49 eV/atom
Space-group type   Cmmm

```
Nd7Cu2Au2
1.0
3.913 -5.611 0.000
3.913 5.611 0.000
0.000 0.000 7.323
Nd Cu Au
7 2 2
direct
0.000 0.000 0.000
0.000 0.500 0.271
0.000 0.500 0.729
0.500 0.000 0.271
0.500 0.000 0.729
0.500 0.500 0.254
0.500 0.500 0.746
0.293 0.707 0.000
0.707 0.293 0.000
0.180 0.180 0.500
0.820 0.820 0.500
```